--- A ---
DFT (PBE-GGA) results for a relaxed Ce2GaBi crystal.

Values from the calculation:
**Volume**: 122.23 Å³/cell
**M_tot**: 0.46 μB/cell

```
Ce2GaBi
1.0
2.219 1.281 7.168
-2.219 1.281 7.168
0.000 -2.562 7.168
Ce Ga Bi
2 1 1
Direct
0.243 0.243 0.243
0.757 0.757 0.757
0.500 0.500 0.500
0.000 0.000 0.000
```

--- B ---
DFT (PBE-GGA) results for a relaxed Ce2GaBi crystal.

Values from the calculation:
**Volume**: 106.90 Å³/cell
**M_tot**: 2.15 μB/cell

```
Ce2GaBi
1.0
4.093 0.000 0.000
0.000 4.093 0.000
0.000 0.000 6.381
Ce Ga Bi
2 1 1
Direct
0.000 0.000 0.218
0.000 0.000 0.782
0.500 0.500 0.000
0.500 0.500 0.500
```

Least stable of them? A.

--- A ---
DFT (PBE-GGA) results for a relaxed Ce2GaBi crystal.

Values from the calculation:
**Volume**: 231.26 Å³/cell
**M_tot**: 3.90 μB/cell

```
Ce2GaBi
1.0
6.264 0.000 0.000
0.000 4.309 0.000
-2.784 0.000 8.567
Ce Ga Bi
4 2 2
Direct
0.188 0.250 0.425
0.278 0.750 0.060
0.722 0.250 0.940
0.812 0.750 0.575
0.107 0.250 0.796
0.893 0.750 0.204
0.384 0.750 0.708
0.616 0.250 0.292
```

--- B ---
DFT (PBE-GGA) results for a relaxed Ce2GaBi crystal.

Values from the calculation:
**Volume**: 239.24 Å³/cell
**M_tot**: 3.66 μB/cell

```
Ce2GaBi
1.0
2.342 -11.776 0.000
2.342 11.776 0.000
0.000 0.000 4.338
Ce Ga Bi
4 2 2
Direct
0.052 0.948 0.750
0.326 0.674 0.750
0.674 0.326 0.250
0.948 0.052 0.250
0.462 0.538 0.750
0.538 0.462 0.250
0.188 0.812 0.750
0.812 0.188 0.250
```

Least stable of them? A.

--- A ---
DFT (PBE-GGA) results for a relaxed Ce3GeBi2 crystal.

Values from the calculation:
**Volume**: 380.50 Å³/cell
**M_tot**: 3.78 μB/cell

```
Ce3GeBi2
1.0
3.895 -6.706 0.000
3.895 6.706 0.000
-2.570 0.000 7.284
Ce Ge Bi
6 2 4
Direct
0.000 0.500 0.000
0.149 0.302 0.495
0.302 0.149 0.995
0.500 0.000 0.500
0.698 0.851 0.005
0.851 0.698 0.505
0.089 0.911 0.250
0.911 0.089 0.750
0.258 0.742 0.750
0.418 0.582 0.250
0.582 0.418 0.750
0.742 0.258 0.250
```

--- B ---
DFT (PBE-GGA) results for a relaxed Ce3GeBi2 crystal.

Values from the calculation:
**Volume**: 380.19 Å³/cell
**M_tot**: 3.78 μB/cell

```
Ce3GeBi2
1.0
3.867 -6.696 0.000
3.867 6.696 0.000
-2.584 0.000 7.341
Ce Ge Bi
6 2 4
Direct
0.073 0.422 0.765
0.228 0.228 0.229
0.422 0.073 0.765
0.578 0.927 0.235
0.772 0.772 0.771
0.927 0.578 0.235
0.168 0.832 0.000
0.832 0.168 0.000
0.000 0.000 0.500
0.341 0.659 0.500
0.500 0.500 0.000
0.659 0.341 0.500
```

Least stable of them? A.

--- A ---
DFT (PBE-GGA) results for a relaxed Ce5GeBi4 crystal.

Values from the calculation:
**Volume**: 328.43 Å³/cell
**M_tot**: 3.75 μB/cell

```
Ce5GeBi4
1.0
-5.060 5.060 3.207
5.060 -5.060 3.207
5.060 5.060 -3.207
Ce Ge Bi
5 1 4
Direct
0.000 0.000 0.000
0.216 0.597 0.813
0.403 0.216 0.618
0.597 0.784 0.382
0.784 0.403 0.187
0.500 0.500 0.000
0.093 0.304 0.397
0.304 0.907 0.210
0.696 0.093 0.790
0.907 0.696 0.603
```

--- B ---
DFT (PBE-GGA) results for a relaxed Ce5GeBi4 crystal.

Values from the calculation:
**Volume**: 329.53 Å³/cell
**M_tot**: 3.75 μB/cell

```
Ce5GeBi4
1.0
-2.269 2.269 16.006
2.269 -2.269 16.006
2.269 2.269 -16.006
Ce Ge Bi
5 1 4
Direct
0.000 0.000 0.000
0.200 0.200 0.000
0.406 0.406 0.000
0.594 0.594 0.000
0.800 0.800 0.000
0.500 0.500 0.000
0.100 0.100 0.000
0.303 0.303 0.000
0.697 0.697 0.000
0.900 0.900 0.000
```

Least stable of them? B.

--- A ---
DFT (PBE-GGA) results for a relaxed CeBiH crystal.

Values from the calculation:
**Volume**: 127.03 Å³/cell
**M_tot**: 2.63 μB/cell

```
CeBiH
1.0
6.722 0.000 0.000
0.000 5.623 0.000
0.000 0.000 3.361
Ce Bi H
2 2 2
Direct
0.000 0.000 0.000
0.500 0.000 0.000
0.250 0.500 0.498
0.750 0.500 0.502
0.250 0.000 0.500
0.750 0.000 0.500
```

--- B ---
DFT (PBE-GGA) results for a relaxed CeBiH crystal.

Values from the calculation:
**Volume**: 127.59 Å³/cell
**M_tot**: 1.42 μB/cell

```
CeBiH
1.0
-1.761 3.630 4.989
1.761 -3.630 4.989
1.761 3.630 -4.989
Ce Bi H
2 2 2
Direct
0.193 0.000 0.193
0.807 0.000 0.807
0.318 0.318 0.000
0.682 0.682 0.000
0.095 0.595 0.500
0.905 0.405 0.500
```

Least stable of them? B.

--- A ---
DFT (PBE-GGA) results for a relaxed CeBiH crystal.

Values from the calculation:
**Volume**: 64.94 Å³/cell
**M_tot**: 0.18 μB/cell

```
CeBiH
1.0
4.073 0.000 0.000
-2.037 3.528 0.000
0.000 0.000 4.519
Ce Bi H
1 1 1
Direct
0.000 0.000 0.000
0.667 0.333 0.500
0.333 0.667 0.000
```

--- B ---
DFT (PBE-GGA) results for a relaxed CeBiH crystal.

Values from the calculation:
**Volume**: 66.96 Å³/cell
**M_tot**: 1.37 μB/cell

```
CeBiH
1.0
-1.686 1.686 5.892
1.686 -1.686 5.892
1.686 1.686 -5.892
Ce Bi H
1 1 1
Direct
0.000 0.000 0.000
0.285 0.285 0.000
0.551 0.551 0.000
```

Least stable of them? B.

--- A ---
DFT (PBE-GGA) results for a relaxed Ce3Bi2H crystal.

Values from the calculation:
**Volume**: 336.11 Å³/cell
**M_tot**: 5.60 μB/cell

```
Ce3Bi2H
1.0
6.508 -3.213 0.000
6.508 3.213 0.000
-2.769 0.000 8.037
Ce Bi H
6 4 2
Direct
0.013 0.987 0.750
0.384 0.387 0.442
0.387 0.384 0.942
0.613 0.616 0.058
0.616 0.613 0.558
0.987 0.013 0.250
0.189 0.194 0.095
0.194 0.189 0.595
0.806 0.811 0.405
0.811 0.806 0.905
0.398 0.602 0.750
0.602 0.398 0.250
```

--- B ---
DFT (PBE-GGA) results for a relaxed Ce3Bi2H crystal.

Values from the calculation:
**Volume**: 623.46 Å³/cell
**M_tot**: 14.19 μB/cell

```
Ce3Bi2H
1.0
7.308 0.000 0.000
0.000 4.319 0.000
0.000 0.000 19.755
Ce Bi H
12 8 4
Direct
0.019 0.250 0.158
0.134 0.250 0.339
0.158 0.250 0.548
0.342 0.750 0.048
0.366 0.750 0.839
0.481 0.750 0.658
0.519 0.250 0.342
0.634 0.250 0.161
0.658 0.250 0.952
0.842 0.750 0.452
0.866 0.750 0.661
0.981 0.750 0.842
0.164 0.250 0.944
0.175 0.250 0.721
0.325 0.750 0.221
0.336 0.750 0.444
0.664 0.250 0.556
0.675 0.250 0.779
0.825 0.750 0.279
0.836 0.750 0.056
0.016 0.750 0.554
0.484 0.250 0.054
0.516 0.750 0.946
0.984 0.250 0.446
```

Least stable of them? A.

--- A ---
DFT (PBE-GGA) results for a relaxed Ce4Bi2H crystal.

Values from the calculation:
**Volume**: 188.72 Å³/cell
**M_tot**: 3.90 μB/cell

```
Ce4Bi2H
1.0
-2.321 2.321 8.757
2.321 -2.321 8.757
2.321 2.321 -8.757
Ce Bi H
4 2 1
Direct
0.000 0.500 0.500
0.171 0.171 0.000
0.500 0.000 0.500
0.829 0.829 0.000
0.360 0.360 0.000
0.640 0.640 0.000
0.000 0.000 0.000
```

--- B ---
DFT (PBE-GGA) results for a relaxed Ce4Bi2H crystal.

Values from the calculation:
**Volume**: 368.93 Å³/cell
**M_tot**: 9.16 μB/cell

```
Ce4Bi2H
1.0
6.050 0.000 0.000
0.000 6.643 0.000
-1.582 0.000 9.180
Ce Bi H
8 4 2
Direct
0.183 0.250 0.059
0.196 0.750 0.369
0.294 0.538 0.726
0.294 0.962 0.726
0.706 0.038 0.274
0.706 0.462 0.274
0.804 0.250 0.631
0.817 0.750 0.941
0.240 0.250 0.417
0.336 0.750 0.054
0.664 0.250 0.946
0.760 0.750 0.583
0.130 0.250 0.801
0.870 0.750 0.199
```

Least stable of them? B.